No. 1
RbCa2SbI8 after structural relaxation, computed with PBE-GGA.

a b c (Å): 7.664 7.276 9.787
angles (deg): 89.93 89.97 89.53
Fractional coordinates of all 12 atoms:
Rb1 0.000 0.000 0.500
I1 0.841 0.251 0.216
I2 0.842 0.252 0.784
I3 0.619 0.733 0.500
I4 0.381 0.267 0.500
I5 0.159 0.749 0.784
I6 0.337 0.247 0.000
I7 0.663 0.753 0.000
I8 0.158 0.748 0.216
Ca1 0.500 0.500 0.751
Ca2 0.500 0.500 0.249
Sb1 0.000 0.000 0.000

No. 2
RbCaSbI2 after structural relaxation, computed with PBE-GGA.

a b c (Å): 6.395 6.395 6.302
angles (deg): 90.00 90.00 90.00
Fractional coordinates of all 5 atoms:
Sb1 0.000 0.000 0.500
I1 0.500 0.000 0.000
I2 0.000 0.500 0.000
Ca1 0.500 0.500 0.500
Rb1 0.000 0.000 0.000

No. 3
RbCaSbI2 after structural relaxation, computed with PBE-GGA.

a b c (Å): 6.246 6.246 6.278
angles (deg): 90.00 90.00 90.00
Fractional coordinates of all 5 atoms:
I1 0.000 0.500 0.000
I2 0.500 0.000 0.000
Ca1 0.000 0.000 0.000
Rb1 0.500 0.500 0.500
Sb1 0.000 0.000 0.500

No. 4
RbCaSe2I after structural relaxation, computed with PBE-GGA.

a b c (Å): 6.109 5.486 6.109
angles (deg): 90.00 90.00 90.00
Fractional coordinates of all 5 atoms:
Rb1 0.500 0.500 0.500
Ca1 0.000 0.500 0.000
Se1 0.500 0.000 0.000
Se2 0.000 0.000 0.500
I1 0.000 0.000 0.000

No. 5
RbCaSi2I after structural relaxation, computed with PBE-GGA.

a b c (Å): 5.689 6.313 5.689
angles (deg): 90.00 90.00 90.00
Fractional coordinates of all 5 atoms:
I1 0.000 0.500 0.000
Si1 0.500 0.000 0.000
Si2 0.000 0.000 0.500
Rb1 0.500 0.500 0.500
Ca1 0.000 0.000 0.000

No. 6
RbCaSmI6 after structural relaxation, computed with PBE-GGA.

a b c (Å): 8.089 8.089 16.204
angles (deg): 90.00 90.00 120.00
Fractional coordinates of all 18 atoms:
Ca1 0.333 0.667 0.250
Ca2 0.667 0.333 0.750
I1 0.630 0.004 0.362
I2 0.004 0.630 0.862
I3 0.375 0.004 0.138
I4 0.370 0.375 0.862
I5 0.996 0.370 0.138
I6 0.004 0.375 0.638
I7 0.630 0.625 0.138
I8 0.625 0.996 0.862
I9 0.370 0.996 0.638
I10 0.375 0.370 0.362
I11 0.625 0.630 0.638
I12 0.996 0.625 0.362
Sm1 0.667 0.333 0.250
Sm2 0.333 0.667 0.750
Rb1 0.000 0.000 0.500
Rb2 0.000 0.000 0.000

No. 7
Rb2CaSnI6 after structural relaxation, computed with PBE-GGA.

a b c (Å): 8.732 8.731 8.770
angles (deg): 60.13 60.13 60.01
Fractional coordinates of all 10 atoms:
Ca1 0.819 0.819 0.542
Rb1 0.041 0.041 0.876
Rb2 0.541 0.541 0.378
Sn1 0.319 0.319 0.042
I1 0.077 0.488 0.778
I2 0.657 0.077 0.778
I3 0.984 0.581 0.281
I4 0.581 0.153 0.282
I5 0.153 0.984 0.281
I6 0.488 0.657 0.778

No. 8
Rb2SrCaI6 after structural relaxation, computed with PBE-GGA.

a b c (Å): 8.534 8.980 12.270
angles (deg): 90.00 90.24 90.00
Fractional coordinates of all 20 atoms:
I1 0.800 0.806 0.553
I2 0.811 0.795 0.946
I3 0.689 0.295 0.554
I4 0.608 0.027 0.256
I5 0.311 0.705 0.446
I6 0.300 0.694 0.053
I7 0.892 0.527 0.244
I8 0.700 0.306 0.947
I9 0.189 0.205 0.054
I10 0.392 0.973 0.744
I11 0.108 0.473 0.756
I12 0.200 0.194 0.447
Ca1 0.500 0.000 0.500
Ca2 0.000 0.500 0.000
Rb1 0.029 0.922 0.249
Rb2 0.971 0.078 0.751
Rb3 0.529 0.578 0.749
Rb4 0.471 0.422 0.251
Sr1 0.000 0.500 0.500
Sr2 0.500 0.000 0.000

No. 9
Rb2SrCaI6 after structural relaxation, computed with PBE-GGA.

a b c (Å): 8.938 8.938 8.938
angles (deg): 60.00 60.00 90.00
Fractional coordinates of all 10 atoms:
Rb1 0.750 0.250 0.500
Rb2 0.250 0.750 0.500
Sr1 0.000 0.000 0.000
I1 0.745 0.255 0.000
I2 0.255 0.745 0.000
I3 0.255 0.255 0.000
I4 0.745 0.745 0.000
I5 0.745 0.745 0.510
I6 0.255 0.255 0.490
Ca1 0.500 0.500 0.000

No. 10
RbCaTbI6 after structural relaxation, computed with PBE-GGA.

a b c (Å): 8.032 8.032 16.280
angles (deg): 90.00 90.00 120.00
Fractional coordinates of all 18 atoms:
I1 0.991 0.625 0.360
I2 0.009 0.375 0.640
I3 0.375 0.009 0.140
I4 0.625 0.991 0.860
I5 0.633 0.009 0.360
I6 0.367 0.375 0.860
I7 0.009 0.633 0.860
I8 0.991 0.367 0.140
I9 0.375 0.367 0.360
I10 0.367 0.991 0.640
I11 0.625 0.633 0.640
I12 0.633 0.625 0.140
Tb1 0.333 0.667 0.750
Tb2 0.667 0.333 0.250
Rb1 0.000 0.000 0.000
Rb2 0.000 0.000 0.500
Ca1 0.333 0.667 0.250
Ca2 0.667 0.333 0.750

No. 11
Rb2CaTcI after structural relaxation, computed with PBE-GGA.

a b c (Å): 6.777 6.160 6.777
angles (deg): 90.00 90.00 90.00
Fractional coordinates of all 5 atoms:
Tc1 0.500 0.500 0.500
Rb1 0.000 0.000 0.500
Rb2 0.500 0.000 0.000
I1 0.000 0.000 0.000
Ca1 0.000 0.500 0.000

No. 12
Rb2CaTcI after structural relaxation, computed with PBE-GGA.

a b c (Å): 7.343 5.152 7.343
angles (deg): 90.00 90.00 90.00
Fractional coordinates of all 5 atoms:
Rb1 0.500 0.000 0.000
Rb2 0.000 0.000 0.500
Tc1 0.000 0.500 0.000
I1 0.500 0.500 0.500
Ca1 0.000 0.000 0.000

no.,total moment (μB per atom),D(E_F) (states/eV/f.u.),E (eV per atom)
1,0.0000,0.00,-2.8847
2,0.2044,4.09,-2.0647
3,0.4005,0.89,-2.8829
4,0.0000,2.39,-2.6168
5,0.4106,6.12,-2.7337
6,0.0000,0.00,-3.3966
7,0.0000,0.00,-2.9431
8,0.0000,0.00,-3.0886
9,0.0000,0.00,-3.0395
10,0.0000,0.00,-3.3832
11,0.7669,11.12,-2.4179
12,0.4979,3.76,-2.5094